Record 1
## CdCuRe2 (PBE-GGA)

Data for an optimized crystal structure of CdCuRe2.

Results
Volume   63.7 Å³ per cell
Energy of formation   640 meV per atom
VASP energy   -6.84 eV per atom

a = 2.749 Å, b = 4.186 Å, c = 5.535 Å
α = 90.00°, β = 90.00°, γ = 90.00°
Positions (direct):
1 Re 0.000 0.000 0.961
2 Re 0.000 0.000 0.539
3 Cd 0.500 0.500 0.250
4 Cu 0.500 0.500 0.750



Record 2
## MoAuSe2N (PBE-GGA)

Data for an optimized crystal structure of MoAuSe2N.

Results
Volume   104.2 Å³ per cell
Offset from the most stable computed form   0.992 eV/atom
Formation energy without anion corrections   1.379 eV/atom
VASP energy   -4.50 eV per atom

a = 5.269 Å, b = 5.269 Å, c = 3.755 Å
α = 90.00°, β = 90.00°, γ = 90.00°
Each line ends with the local moment (μB).
Positions (direct):
1 N 0.000 0.000 0.500  0.01
2 Se 0.500 0.000 0.000  -0.16
3 Se 0.000 0.500 0.000  -0.16
4 Au 0.000 0.000 0.000  0.00
5 Mo 0.500 0.500 0.500  3.31



Record 3
## Y2NiRh2 (PBE-GGA)

Data for an optimized crystal structure of Y2NiRh2.

Results
Volume   194.5 Å³ per cell
Energy of formation   -563 meV per atom
VASP energy   -7.25 eV per atom

a = 6.934 Å, b = 6.934 Å, c = 4.046 Å
α = 90.00°, β = 90.00°, γ = 90.00°
Positions (direct):
1 Y 0.825 0.325 0.500
2 Y 0.175 0.675 0.500
3 Y 0.675 0.825 0.500
4 Y 0.325 0.175 0.500
5 Rh 0.863 0.637 0.000
6 Rh 0.137 0.363 0.000
7 Rh 0.363 0.863 0.000
8 Rh 0.637 0.137 0.000
9 Ni 0.000 0.000 0.000
10 Ni 0.500 0.500 0.000



Record 4
## Nd6As2PdSe3 (PBE-GGA)

Data for an optimized crystal structure of Nd6As2PdSe3.

Results
Volume   326.3 Å³ per cell
Formation energy without anion corrections   -1.562 eV/atom
VASP energy   -6.02 eV per atom

a = 4.229 Å, b = 8.545 Å, c = 9.523 Å
α = 103.10°, β = 102.83°, γ = 90.00°
Positions (direct):
1 Nd 0.333 0.910 0.666
2 Nd 0.669 0.578 0.338
3 Nd 0.998 0.754 0.996
4 Nd 0.002 0.246 0.004
5 Nd 0.667 0.090 0.334
6 Nd 0.331 0.422 0.662
7 As 0.166 0.333 0.332
8 As 0.834 0.667 0.668
9 Pd 0.500 0.000 0.000
10 Se 0.168 0.833 0.335
11 Se 0.832 0.167 0.665
12 Se 0.500 0.500 0.000



Record 5
## Zn2HgGe (PBE-GGA)

Data for an optimized crystal structure of Zn2HgGe.

Results
Volume   75.5 Å³ per cell
Energy of formation   240 meV per atom
Offset from the most stable computed form   0.054 eV/atom
VASP energy   -1.63 eV per atom

a = 4.744 Å, b = 4.744 Å, c = 4.744 Å
α = 60.00°, β = 60.00°, γ = 60.00°
Positions (direct):
1 Zn 0.250 0.250 0.250
2 Zn 0.750 0.750 0.750
3 Ge 0.000 0.000 0.000
4 Hg 0.500 0.500 0.500



Record 6
## BaNd2SnN4 (PBE-GGA)

Data for an optimized crystal structure of BaNd2SnN4.

Results
Volume   295.0 Å³ per cell
Formation energy without anion corrections   -0.754 eV/atom
VASP energy   -6.85 eV per atom

a = 3.644 Å, b = 6.647 Å, c = 12.666 Å
α = 90.00°, β = 90.00°, γ = 105.91°
Positions (direct):
1 Ba 0.097 0.194 0.750
2 Ba 0.903 0.806 0.250
3 N 0.576 0.152 0.250
4 N 0.000 0.000 0.500
5 N 0.259 0.519 0.385
6 N 0.424 0.848 0.750
7 N 0.741 0.481 0.885
8 N 0.259 0.519 0.115
9 N 0.000 0.000 0.000
10 N 0.741 0.481 0.615
11 Nd 0.630 0.260 0.466
12 Nd 0.370 0.740 0.534
13 Nd 0.630 0.260 0.034
14 Nd 0.370 0.740 0.966
15 Sn 0.170 0.339 0.250
16 Sn 0.830 0.661 0.750



Record 7
## MgNb2Ga (PBE-GGA)

Data for an optimized crystal structure of MgNb2Ga.

Results
Volume   151.7 Å³ per cell
Energy of formation   369 meV per atom
VASP energy   -5.82 eV per atom

a = 7.447 Å, b = 7.447 Å, c = 5.934 Å
α = 51.14°, β = 51.14°, γ = 90.00°
Positions (direct):
1 Ga 0.750 0.250 0.500
2 Ga 0.000 0.000 0.000
3 Nb 0.107 0.625 0.250
4 Nb 0.375 0.357 0.750
5 Nb 0.875 0.893 0.750
6 Nb 0.643 0.125 0.250
7 Mg 0.250 0.750 0.500
8 Mg 0.500 0.500 0.000



Record 8
## RbBe2S2 (PBE-GGA)

Data for an optimized crystal structure of RbBe2S2.

Results
Volume   109.0 Å³ per cell
Offset from the most stable computed form   0.000 eV/atom
Formation energy without anion corrections   -0.352 eV/atom
VASP energy   -3.69 eV per atom

a = 4.387 Å, b = 4.387 Å, c = 6.455 Å
α = 70.13°, β = 70.13°, γ = 90.00°
Positions (direct):
1 S 0.750 0.250 0.500
2 S 0.250 0.750 0.500
3 Rb 0.000 0.000 0.000
4 Be 0.718 0.718 0.565
5 Be 0.282 0.282 0.435



Record 9
## Y2MgAgO (PBE-GGA)

Data for an optimized crystal structure of Y2MgAgO.

Results
Volume   99.2 Å³ per cell
Formation energy without anion corrections   -1.187 eV/atom
VASP energy   -5.65 eV per atom

a = 4.836 Å, b = 4.836 Å, c = 4.240 Å
α = 90.00°, β = 90.00°, γ = 90.00°
Positions (direct):
1 O 0.000 0.000 0.000
2 Y 0.500 0.000 0.000
3 Y 0.000 0.500 0.000
4 Mg 0.000 0.000 0.500
5 Ag 0.500 0.500 0.500



Record 10
## CdSiAg3 (PBE-GGA)

Data for an optimized crystal structure of CdSiAg3.

Results
Volume   111.7 Å³ per cell
Offset from the most stable computed form   0.000 eV/atom
Formation energy without anion corrections   0.350 eV/atom
VASP energy   -2.63 eV per atom

a = 4.816 Å, b = 4.816 Å, c = 4.816 Å
α = 90.00°, β = 90.00°, γ = 90.00°
Positions (direct):
1 Cd 0.500 0.500 0.500
2 Si 0.000 0.000 0.000
3 Ag 0.500 0.000 0.000
4 Ag 0.000 0.500 0.000
5 Ag 0.000 0.000 0.500



Record 11
## VHg (PBE-GGA)

Data for an optimized crystal structure of VHg.

Results
Volume   159.4 Å³ per cell
Energy of formation   999 meV per atom
VASP energy   -3.71 eV per atom

a = 5.422 Å, b = 5.422 Å, c = 5.422 Å
α = 90.00°, β = 90.00°, γ = 90.00°
Each line ends with the local moment (μB).
Positions (direct):
1 Hg 0.500 0.000 0.000  0.00
2 Hg 0.000 0.500 0.000  0.00
3 Hg 0.000 0.000 0.500  0.00
4 Hg 0.500 0.500 0.500  0.00
5 V 0.000 0.500 0.500  0.46
6 V 0.000 0.000 0.000  0.46
7 V 0.500 0.000 0.500  0.46
8 V 0.500 0.500 0.000  0.46



Record 12
## SrNd3Y2Se6 (PBE-GGA)

Data for an optimized crystal structure of SrNd3Y2Se6.

Results
Volume   316.5 Å³ per cell
Formation energy without anion corrections   -1.830 eV/atom
VASP energy   -5.98 eV per atom

a = 7.256 Å, b = 7.256 Å, c = 7.353 Å
α = 99.44°, β = 99.44°, γ = 120.06°
Positions (direct):
1 Nd 0.160 0.840 0.500
2 Nd 0.500 0.500 0.500
3 Nd 0.840 0.160 0.500
4 Se 0.919 0.575 0.755
5 Se 0.575 0.919 0.755
6 Se 0.425 0.081 0.245
7 Se 0.081 0.425 0.245
8 Se 0.264 0.264 0.763
9 Se 0.736 0.736 0.237
10 Sr 0.000 0.000 0.000
11 Y 0.333 0.667 0.000
12 Y 0.667 0.333 0.000



What is the formula in the eighth record?
RbBe2S2



What did the fifth record say?
## Zn2HgGe (PBE-GGA)

Data for an optimized crystal structure of Zn2HgGe.

Results
Volume   75.5 Å³ per cell
Energy of formation   240 meV per atom
Offset from the most stable computed form   0.054 eV/atom
VASP energy   -1.63 eV per atom

a = 4.744 Å, b = 4.744 Å, c = 4.744 Å
α = 60.00°, β = 60.00°, γ = 60.00°
Positions (direct):
1 Zn 0.250 0.250 0.250
2 Zn 0.750 0.750 0.750
3 Ge 0.000 0.000 0.000
4 Hg 0.500 0.500 0.500



Among the records above, which one has the lowest volume?
CdCuRe2



Please write out number 3 again, unchanged.
## Y2NiRh2 (PBE-GGA)

Data for an optimized crystal structure of Y2NiRh2.

Results
Volume   194.5 Å³ per cell
Energy of formation   -563 meV per atom
VASP energy   -7.25 eV per atom

a = 6.934 Å, b = 6.934 Å, c = 4.046 Å
α = 90.00°, β = 90.00°, γ = 90.00°
Positions (direct):
1 Y 0.825 0.325 0.500
2 Y 0.175 0.675 0.500
3 Y 0.675 0.825 0.500
4 Y 0.325 0.175 0.500
5 Rh 0.863 0.637 0.000
6 Rh 0.137 0.363 0.000
7 Rh 0.363 0.863 0.000
8 Rh 0.637 0.137 0.000
9 Ni 0.000 0.000 0.000
10 Ni 0.500 0.500 0.000